The following is a PBE calculation of crystalline Y2TaAg at its relaxed geometry, from the Alexandria database.

Values from the calculation:
As for the spin magnetization: 9.119 Bohr magnetons per cell. As for the raw total energy: -0.243 Ha/atom.

```
data_Y2TaAg
_cell_length_a 7.2893
_cell_length_b 7.2893
_cell_length_c 7.2893
_cell_angle_alpha 90.00
_cell_angle_beta 90.00
_cell_angle_gamma 90.00
_symmetry_space_group_name_H-M 'F m -3 m'
_symmetry_Int_Tables_number 225
_symmetry_space_group_name_Hall '-F 4 2 3'
loop_
_atom_site_label
_atom_site_type_symbol
_atom_site_fract_x
_atom_site_fract_y
_atom_site_fract_z
Y1 Y 0.2500 0.2500 0.2500
Ta1 Ta 0.0000 0.0000 0.0000
Ag1 Ag 0.0000 0.0000 0.5000
```